Density functional theory data (PBE) for La4Nd15Sm after structural relaxation.

a b c (Å): 5.230 5.230 26.081
angles (deg): 90.00 90.00 90.00
Fractional coordinates of all 20 atoms:
1 Nd 0.000 0.500 0.099
2 Nd 0.500 0.000 0.901
3 Nd 0.000 0.500 0.300
4 Nd 0.500 0.000 0.500
5 Nd 0.500 0.500 0.000
6 Nd 0.500 0.000 0.700
7 Nd 0.500 0.000 0.300
8 Nd 0.500 0.500 0.600
9 Nd 0.500 0.000 0.099
10 Nd 0.500 0.500 0.400
11 Nd 0.000 0.500 0.901
12 Nd 0.000 0.500 0.500
13 Nd 0.000 0.500 0.700
14 Nd 0.500 0.500 0.199
15 Nd 0.500 0.500 0.801
16 La 0.000 0.000 0.800
17 La 0.000 0.000 0.400
18 La 0.000 0.000 0.600
19 La 0.000 0.000 0.200
20 Sm 0.000 0.000 0.000

Output
The formation energy comes out at 0.3 eV/f.u. The calculation puts the total magnetization at 0.000 Bohr magnetons per cell.

***

Density functional theory data (PBE) for ZnPb4Cl after structural relaxation.

a b c (Å): 6.460 6.460 6.460
angles (deg): 60.00 60.00 60.00
Fractional coordinates of all 6 atoms:
1 Cl 0.000 0.000 0.000
2 Zn 0.750 0.750 0.750
3 Pb 0.376 0.873 0.376
4 Pb 0.873 0.376 0.376
5 Pb 0.376 0.376 0.873
6 Pb 0.376 0.376 0.376

Output
The uncorrected formation energy is 15.0 kJ per mole of atoms. The calculation puts the total magnetization at 0.000 Bohr magnetons per cell.

***

Density functional theory data (PBE) for SrCdB3 after structural relaxation.

a b c (Å): 4.525 4.525 4.525
angles (deg): 90.00 90.00 90.00
Fractional coordinates of all 5 atoms:
1 B 0.500 0.000 0.000
2 B 0.000 0.500 0.000
3 B 0.000 0.000 0.500
4 Cd 0.000 0.000 0.000
5 Sr 0.500 0.500 0.500

Output
The formation energy comes out at 8.2 eV/f.u. The calculation puts the energy above the lowest structure with this stoichiometry at 0.000 eV per formula unit. The calculation puts the total magnetization at 0.000 Bohr magnetons per cell.

***

Density functional theory data (PBE) for YIBrO2 after structural relaxation.

a b c (Å): 4.324 4.324 7.053
angles (deg): 90.00 90.00 90.00
Fractional coordinates of all 5 atoms:
1 Y 0.000 0.000 0.000
2 Br 0.500 0.500 0.500
3 O 0.500 0.000 0.000
4 O 0.000 0.500 0.000
5 I 0.000 0.000 0.500

Output
The uncorrected formation energy is -103.9 kJ per mole of atoms. The calculation puts the energy above the lowest structure with this stoichiometry at 0.000 eV per formula unit. The calculation puts the total magnetization at 0.025 Bohr magnetons per cell.

***

Density functional theory data (PBE) for La2CdNiOs after structural relaxation.

a b c (Å): 5.584 4.614 5.584
angles (deg): 90.00 90.00 90.00
Fractional coordinates of all 5 atoms:
1 La 0.000 0.000 0.500
2 La 0.500 0.000 0.000
3 Os 0.000 0.000 0.000
4 Cd 0.500 0.500 0.500
5 Ni 0.000 0.500 0.000

Output
The formation energy comes out at 0.4 eV/f.u. The calculation puts the total magnetization at 0.000 Bohr magnetons per cell.

***

Density functional theory data (PBE) for Ce6CoRu2Cl3 after structural relaxation.

a b c (Å): 6.851 6.851 7.761
angles (deg): 98.47 98.47 119.99
Site moments in Bohr magnetons follow the coordinates.
Fractional coordinates of all 12 atoms:
1 Ce 0.741 0.741 0.206  0.68
2 Ce 0.604 0.932 0.795  0.67
3 Ce 0.259 0.259 0.794  0.68
4 Ce 0.068 0.396 0.205  0.67
5 Ce 0.932 0.604 0.795  0.67
6 Ce 0.396 0.068 0.205  0.67
7 Ru 0.333 0.667 0.000  -0.12
8 Ru 0.667 0.333 0.000  -0.12
9 Cl 0.832 0.168 0.500  -0.01
10 Cl 0.168 0.832 0.500  -0.01
11 Cl 0.500 0.500 0.500  -0.01
12 Co 0.000 0.000 0.000  -0.24

Output
The uncorrected formation energy is -85.6 kJ per mole of atoms. The calculation puts the total magnetization at 4.415 Bohr magnetons per cell.

***

Density functional theory data (PBE) for RbSbC3 after structural relaxation.

a b c (Å): 4.579 4.579 4.579
angles (deg): 90.00 90.00 90.00
Site moments in Bohr magnetons follow the coordinates.
Fractional coordinates of all 5 atoms:
1 C 0.000 0.500 0.000  0.42
2 C 0.000 0.000 0.500  0.37
3 C 0.500 0.000 0.000  0.29
4 Sb 0.500 0.500 0.500  -0.12
5 Rb 0.000 0.000 0.000  0.03

Output
The uncorrected formation energy is 394.9 kJ per mole of atoms. The calculation puts the energy above the lowest structure with this stoichiometry at 7.623 eV per formula unit. The calculation puts the total magnetization at 1.916 Bohr magnetons per cell.

***

Density functional theory data (PBE) for CsTc3Br after structural relaxation.

a b c (Å): 5.123 5.123 5.123
angles (deg): 90.00 90.00 90.00
Site moments in Bohr magnetons follow the coordinates.
Fractional coordinates of all 5 atoms:
1 Tc 0.000 0.500 0.000  2.36
2 Tc 0.500 0.000 0.000  2.52
3 Tc 0.000 0.000 0.500  2.13
4 Br 0.500 0.500 0.500  0.22
5 Cs 0.000 0.000 0.000  -0.02

Output
The uncorrected formation energy is 299.5 kJ per mole of atoms. The calculation puts the energy above the lowest structure with this stoichiometry at 5.573 eV per formula unit. The calculation puts the total magnetization at 7.972 Bohr magnetons per cell.

***

Density functional theory data (PBE) for PaCoSe after structural relaxation.

a b c (Å): 3.775 3.775 8.370
angles (deg): 90.00 90.00 90.00
Fractional coordinates of all 6 atoms:
1 Se 0.836 0.336 0.872
2 Se 0.336 0.836 0.128
3 Co 0.836 0.836 0.500
4 Co 0.336 0.336 0.500
5 Pa 0.336 0.836 0.721
6 Pa 0.836 0.336 0.279

Output
The uncorrected formation energy is -74.0 kJ per mole of atoms. The calculation puts the energy above the lowest structure with this stoichiometry at 0.162 eV per formula unit. The calculation puts the total magnetization at 0.000 Bohr magnetons per cell.

***

Density functional theory data (PBE) for MnCr2W after structural relaxation.

a b c (Å): 4.847 4.847 4.847
angles (deg): 144.64 129.04 63.56
Fractional coordinates of all 4 atoms:
1 W 0.248 0.748 0.500
2 Cr 0.755 0.255 0.500
3 Cr 0.994 0.994 0.000
4 Mn 0.503 0.503 0.000

Output
The formation energy comes out at 0.4 eV/f.u. The calculation puts the energy above the lowest structure with this stoichiometry at 0.091 eV per formula unit. The calculation puts the total magnetization at 0.005 Bohr magnetons per cell.

***

Density functional theory data (PBE) for Zn2PBr after structural relaxation.

a b c (Å): 6.707 6.707 6.707
angles (deg): 32.90 32.90 32.90
Fractional coordinates of all 4 atoms:
1 Zn 0.273 0.273 0.273
2 Zn 0.727 0.727 0.727
3 Br 0.500 0.500 0.500
4 P 0.000 0.000 0.000

Output
The uncorrected formation energy is -21.5 kJ per mole of atoms. The calculation puts the energy above the lowest structure with this stoichiometry at 0.922 eV per formula unit. The calculation puts the total magnetization at 0.000 Bohr magnetons per cell.

***

Density functional theory data (PBE) for BaIn6Ag12 after structural relaxation.

a b c (Å): 7.849 7.849 7.849
angles (deg): 103.84 103.84 103.84
Fractional coordinates of all 19 atoms:
1 Ag 0.623 0.623 0.875
2 Ag 0.377 0.125 0.377
3 Ag 0.889 0.500 0.111
4 Ag 0.500 0.889 0.111
5 Ag 0.377 0.377 0.125
6 Ag 0.875 0.623 0.623
7 Ag 0.111 0.500 0.889
8 Ag 0.623 0.875 0.623
9 Ag 0.500 0.111 0.889
10 Ag 0.889 0.111 0.500
11 Ag 0.111 0.889 0.500
12 Ag 0.125 0.377 0.377
13 In 0.284 0.284 0.699
14 In 0.301 0.716 0.716
15 In 0.284 0.699 0.284
16 In 0.716 0.716 0.301
17 In 0.699 0.284 0.284
18 In 0.716 0.301 0.716
19 Ba 0.000 0.000 0.000

Output
The formation energy comes out at -0.2 eV/f.u. The calculation puts the total magnetization at 0.000 Bohr magnetons per cell.

***

Density functional theory data (PBE) for MnBTeAu after structural relaxation.

a b c (Å): 3.255 4.700 5.312
angles (deg): 86.64 72.11 69.74
Site moments in Bohr magnetons follow the coordinates.
Fractional coordinates of all 4 atoms:
1 B 0.454 0.662 0.235  -0.09
2 Te 0.846 0.204 0.911  -0.01
3 Au 0.812 0.655 0.526  -0.03
4 Mn 0.081 0.645 0.001  1.20

Output
The uncorrected formation energy is 30.0 kJ per mole of atoms. The calculation puts the energy above the lowest structure with this stoichiometry at 0.414 eV per formula unit. The calculation puts the total magnetization at 1.064 Bohr magnetons per cell.

***

Density functional theory data (PBE) for K3As2Au after structural relaxation.

a b c (Å): 7.256 7.256 7.738
angles (deg): 88.41 88.41 88.10
Fractional coordinates of all 12 atoms:
1 As 0.505 0.938 0.847
2 As 0.938 0.505 0.347
3 As 0.062 0.495 0.653
4 As 0.495 0.062 0.153
5 K 0.608 0.392 0.750
6 K 0.876 0.772 0.016
7 K 0.124 0.228 0.984
8 K 0.772 0.876 0.516
9 K 0.392 0.608 0.250
10 K 0.228 0.124 0.484
11 Au 0.250 0.750 0.750
12 Au 0.750 0.250 0.250

Output
The formation energy comes out at -2.6 eV/f.u. The calculation puts the total magnetization at 0.000 Bohr magnetons per cell.

***

Density functional theory data (PBE) for SiPbOF2 after structural relaxation.

a b c (Å): 4.642 4.642 4.404
angles (deg): 90.00 90.00 90.00
Site moments in Bohr magnetons follow the coordinates.
Fractional coordinates of all 5 atoms:
1 Pb 0.000 0.000 0.000  0.01
2 O 0.000 0.000 0.500  0.05
3 F 0.500 0.000 0.000  -0.01
4 F 0.000 0.500 0.000  -0.01
5 Si 0.500 0.500 0.500  -0.09

Output
The uncorrected formation energy is -67.7 kJ per mole of atoms. The calculation puts the energy above the lowest structure with this stoichiometry at 4.034 eV per formula unit. The calculation puts the total magnetization at 0.220 Bohr magnetons per cell.

***

Density functional theory data (PBE) for NdNi2Au after structural relaxation.

a b c (Å): 4.366 4.366 5.209
angles (deg): 65.22 65.22 60.00
Fractional coordinates of all 4 atoms:
1 Ni 0.802 0.802 0.595
2 Ni 0.198 0.198 0.405
3 Au 0.500 0.500 0.500
4 Nd 0.000 0.000 0.000

Output
The formation energy comes out at -1.4 eV/f.u. The calculation puts the total magnetization at 0.000 Bohr magnetons per cell.

***

Density functional theory data (PBE) for LaBe3V after structural relaxation.

a b c (Å): 4.830 4.830 4.830
angles (deg): 90.00 90.00 90.00
Site moments in Bohr magnetons follow the coordinates.
Fractional coordinates of all 5 atoms:
1 Be 0.000 0.500 0.000  -0.09
2 Be 0.000 0.000 0.500  -0.09
3 Be 0.500 0.000 0.000  -0.09
4 La 0.000 0.000 0.000  -0.34
5 V 0.500 0.500 0.500  2.73

Output
The formation energy comes out at 11.0 eV/f.u. The calculation puts the energy above the lowest structure with this stoichiometry at 8.153 eV per formula unit. The calculation puts the total magnetization at 2.220 Bohr magnetons per cell.

***

Density functional theory data (PBE) for NaLuAg2 after structural relaxation.

a b c (Å): 3.446 3.446 9.669
angles (deg): 79.74 79.74 60.00
Fractional coordinates of all 4 atoms:
1 Ag 0.746 0.746 0.763
2 Ag 0.254 0.254 0.237
3 Na 0.500 0.500 0.500
4 Lu 0.000 0.000 0.000

Output
The formation energy comes out at 0.0 eV/f.u. The calculation puts the energy above the lowest structure with this stoichiometry at 0.643 eV per formula unit. The calculation puts the total magnetization at 0.000 Bohr magnetons per cell.

***

Density functional theory data (PBE) for TmPuInRu after structural relaxation.

a b c (Å): 3.303 3.303 8.317
angles (deg): 90.00 90.00 90.00
Site moments in Bohr magnetons follow the coordinates.
Fractional coordinates of all 4 atoms:
1 In 0.000 0.000 0.067  -0.07
2 Tm 0.500 0.500 0.778  0.02
3 Pu 0.500 0.500 0.365  5.06
4 Ru 0.000 0.000 0.574  -0.49

Output
The formation energy comes out at -1.3 eV/f.u. The calculation puts the energy above the lowest structure with this stoichiometry at 0.000 eV per formula unit. The calculation puts the total magnetization at 4.627 Bohr magnetons per cell.

***

Density functional theory data (PBE) for HoTm5Sn4 after structural relaxation.

a b c (Å): 3.598 9.435 8.833
angles (deg): 92.93 101.75 90.00
Fractional coordinates of all 10 atoms:
1 Tm 0.807 0.621 0.614
2 Tm 0.500 0.500 0.000
3 Tm 0.848 0.242 0.696
4 Tm 0.152 0.758 0.304
5 Tm 0.193 0.379 0.386
6 Sn 0.685 0.060 0.369
7 Sn 0.315 0.940 0.631
8 Sn 0.975 0.746 0.949
9 Sn 0.025 0.254 0.051
10 Ho 0.500 0.000 0.000

Output
The formation energy comes out at -3.2 eV/f.u. The calculation puts the total magnetization at 0.000 Bohr magnetons per cell.